VASP calculation (GGA+U) on crystalline TaVSiO2 at its relaxed geometry.

abc: 3.6670 5.3143 3.6670
angles: 90.00 90.00 90.00
Atoms (fractional coordinates):
1 Si 0.0000 0.5000 0.0000
2 V 0.0000 0.0000 0.0000
3 O 0.0000 0.0000 0.5000
4 O 0.5000 0.0000 0.0000
5 Ta 0.5000 0.5000 0.5000

Calculated values
symmetry = P4/mmm (123)
raw total energy = -7.273 eV per atom